[1]
# PBE-GGA Rb2Ge2S5, optimized geometry
# Energy above the lowest structure with this stoichiometry (meV/atom): 234
# Final energy (eV per cell): -73.54
# ΔE_f (raw) (eV/atom): -0.551
# Magnetic moment (μB per cell): 0.00
data_Rb2Ge2S5
_chemical_formula_sum 'Rb4 Ge4 S10'
_cell_length_a 12.546
_cell_length_b 5.121
_cell_length_c 8.450
_cell_angle_alpha 90.00
_cell_angle_beta 100.22
_cell_angle_gamma 90.00
_symmetry_space_group_name_H-M 'C 1 2/m 1'
_symmetry_Int_Tables_number 12
loop_
_symmetry_equiv_pos_as_xyz
'x,y,z'
'-x,-y,-z'
'-x,y,-z'
'x,-y,z'
'x+1/2,y+1/2,z'
'-x+1/2,-y+1/2,-z'
'-x+1/2,y+1/2,-z'
'x+1/2,-y+1/2,z'
loop_
_atom_site_label
_atom_site_fract_x
_atom_site_fract_y
_atom_site_fract_z
_atom_site_occupancy
Rb1 0.088 0.000 0.317 1
Ge1 0.158 0.500 0.890 1
S1 0.000 0.500 0.000 1
S2 0.125 0.500 0.633 1
S3 0.181 0.000 0.947 1


[2]
# PBE-GGA KHgCl2, optimized geometry
# Energy above the lowest structure with this stoichiometry (meV/atom): 77
# Final energy (eV per cell): -18.28
# ΔE_f (raw) (eV/atom): -1.012
# Magnetic moment (μB per cell): 0.00
data_KHgCl2
_chemical_formula_sum 'K2 Hg2 Cl4'
_cell_length_a 4.031
_cell_length_b 4.192
_cell_length_c 13.858
_cell_angle_alpha 90.00
_cell_angle_beta 90.00
_cell_angle_gamma 90.00
_symmetry_space_group_name_H-M 'I m m 2'
_symmetry_Int_Tables_number 44
loop_
_symmetry_equiv_pos_as_xyz
'x,y,z'
'-x,-y,z'
'-x,y,z'
'x,-y,z'
'x+1/2,y+1/2,z+1/2'
'-x+1/2,-y+1/2,z+1/2'
'-x+1/2,y+1/2,z+1/2'
'x+1/2,-y+1/2,z+1/2'
loop_
_atom_site_label
_atom_site_fract_x
_atom_site_fract_y
_atom_site_fract_z
_atom_site_occupancy
K1 0.000 0.000 0.000 1
Hg1 0.000 0.500 0.259 1
Cl1 0.000 0.000 0.580 1
Cl2 0.000 0.500 0.808 1


[3]
# PBE-GGA YSnIr2, optimized geometry
# Final energy (eV per cell): -30.29
# Magnetic moment (μB per cell): 0.00
# Formation enthalpy at 0 K (eV per atom): -0.53
data_YSnIr2
_chemical_formula_sum 'Y1 Sn1 Ir2'
_cell_length_a 4.438
_cell_length_b 4.438
_cell_length_c 3.786
_cell_angle_alpha 90.00
_cell_angle_beta 90.00
_cell_angle_gamma 90.00
_symmetry_space_group_name_H-M 'P 4/m m m'
_symmetry_Int_Tables_number 123
_symmetry_space_group_name_Hall '-P 4 2'
loop_
_atom_site_label
_atom_site_fract_x
_atom_site_fract_y
_atom_site_fract_z
_atom_site_occupancy
Y1 0.000 0.000 0.000 1
Sn1 0.500 0.500 0.000 1
Ir1 0.000 0.500 0.500 1


[4]
# PBE-GGA CaAg2Au, optimized geometry
# Final energy (eV per cell): -46.94
# Magnetic moment (μB per cell): 0.00
# Formation enthalpy at 0 K (eV per atom): -0.19
data_CaAg2Au
_chemical_formula_sum 'Ca4 Ag8 Au4'
_cell_length_a 4.158
_cell_length_b 4.158
_cell_length_c 20.919
_cell_angle_alpha 90.00
_cell_angle_beta 90.00
_cell_angle_gamma 90.00
_symmetry_space_group_name_H-M 'I -4 2 d'
_symmetry_Int_Tables_number 122
_symmetry_space_group_name_Hall 'I -4 2bw'
loop_
_atom_site_label
_atom_site_fract_x
_atom_site_fract_y
_atom_site_fract_z
_atom_site_occupancy
Ca1 0.000 0.000 0.000 1
Ag1 0.230 0.250 0.625 1
Au1 0.000 0.000 0.500 1


[5]
# PBE-GGA TbDyPt, optimized geometry
# Energy above the lowest structure with this stoichiometry (meV/atom): 5
# Final energy (eV per cell): -71.43
# Magnetic moment (μB per cell): 0.00
# Formation enthalpy at 0 K (eV per atom): -0.86
data_TbDyPt
_chemical_formula_sum 'Tb4 Dy4 Pt4'
_cell_length_a 6.890
_cell_length_b 6.890
_cell_length_c 6.890
_cell_angle_alpha 90.00
_cell_angle_beta 90.00
_cell_angle_gamma 90.00
_symmetry_space_group_name_H-M 'F -4 3 m'
_symmetry_Int_Tables_number 216
_symmetry_space_group_name_Hall 'F -4 2 3'
loop_
_atom_site_label
_atom_site_fract_x
_atom_site_fract_y
_atom_site_fract_z
_atom_site_occupancy
Tb1 0.000 0.000 0.000 1
Dy1 0.000 0.000 0.500 1
Pt1 0.250 0.250 0.250 1


[6]
# PBE-GGA Y2MnC, optimized geometry
# Final energy (eV per cell): -118.64
# Magnetic moment (μB per cell): 16.26
# Formation enthalpy at 0 K (eV per atom): 0.42
data_Y2MnC
_chemical_formula_sum 'Y8 Mn4 C4'
_cell_length_a 7.129
_cell_length_b 7.129
_cell_length_c 7.070
_cell_angle_alpha 90.00
_cell_angle_beta 90.00
_cell_angle_gamma 90.00
_symmetry_space_group_name_H-M 'I -4 2 d'
_symmetry_Int_Tables_number 122
_symmetry_space_group_name_Hall 'I -4 2bw'
loop_
_atom_site_label
_atom_site_fract_x
_atom_site_fract_y
_atom_site_fract_z
_atom_site_occupancy
Y1 0.173 0.250 0.125 1
Mn1 0.000 0.000 0.500 1
C1 0.000 0.000 0.000 1


[7]
# PBE-GGA TlPt2Pb, optimized geometry
# Final energy (eV per cell): -35.72
# Magnetic moment (μB per cell): 0.00
# Formation enthalpy at 0 K (eV per atom): 0.07
data_TlPt2Pb
_chemical_formula_sum 'Tl2 Pt4 Pb2'
_cell_length_a 6.921
_cell_length_b 6.952
_cell_length_c 3.422
_cell_angle_alpha 90.00
_cell_angle_beta 91.71
_cell_angle_gamma 90.00
_symmetry_space_group_name_H-M 'C 1 2/m 1'
_symmetry_Int_Tables_number 12
loop_
_symmetry_equiv_pos_as_xyz
'x,y,z'
'-x,-y,-z'
'-x,y,-z'
'x,-y,z'
'x+1/2,y+1/2,z'
'-x+1/2,-y+1/2,-z'
'-x+1/2,y+1/2,-z'
'x+1/2,-y+1/2,z'
loop_
_atom_site_label
_atom_site_fract_x
_atom_site_fract_y
_atom_site_fract_z
_atom_site_occupancy
Tl1 0.000 0.000 0.000 1
Pt1 0.250 0.250 0.500 1
Pb1 0.000 0.500 0.000 1


[8]
# PBE-GGA CaEr2HgPd4, optimized geometry
# Final energy (eV per cell): -114.24
# Magnetic moment (μB per cell): 0.00
# Formation enthalpy at 0 K (eV per atom): -0.73
data_CaEr2HgPd4
_chemical_formula_sum 'Ca3 Er6 Hg3 Pd12'
_cell_length_a 4.8426
_cell_length_b 4.8426
_cell_length_c 23.9709
_cell_angle_alpha 90.00
_cell_angle_beta 90.00
_cell_angle_gamma 120.00
_symmetry_space_group_name_H-M 'R -3 m'
_symmetry_Int_Tables_number 166
_symmetry_space_group_name_Hall '-R 3 2"'
loop_
_atom_site_label
_atom_site_fract_x
_atom_site_fract_y
_atom_site_fract_z
_atom_site_occupancy
Ca1 0.0000 0.0000 0.0000 1
Er1 0.0000 0.0000 0.2437 1
Hg1 0.0000 0.0000 0.5000 1
Pd1 0.0000 0.0000 0.1230 1
Pd2 0.0000 0.0000 0.3757 1


[9]
# PBE-GGA LiAlIn2O5, optimized geometry
# Final energy (eV per cell): -210.43
# ΔE_f (raw) (eV/atom): -1.854
# Magnetic moment (μB per cell): 0.00
data_LiAlIn2O5
_chemical_formula_sum 'Li4 Al4 In8 O20'
_cell_length_a 3.166
_cell_length_b 12.493
_cell_length_c 9.600
_cell_angle_alpha 90.00
_cell_angle_beta 90.00
_cell_angle_gamma 90.00
_symmetry_space_group_name_H-M 'C m c 21'
_symmetry_Int_Tables_number 36
loop_
_symmetry_equiv_pos_as_xyz
'x,y,z'
'-x,-y,z+1/2'
'-x,y,z'
'x,-y,z+1/2'
'x+1/2,y+1/2,z'
'-x+1/2,-y+1/2,z+1/2'
'-x+1/2,y+1/2,z'
'x+1/2,-y+1/2,z+1/2'
loop_
_atom_site_label
_atom_site_fract_x
_atom_site_fract_y
_atom_site_fract_z
_atom_site_occupancy
Li1 0.000 0.208 0.000 1
Al1 0.000 0.467 0.440 1
In1 0.000 0.108 0.667 1
In2 0.000 0.160 0.290 1
O1 0.000 0.043 0.024 1
O2 0.000 0.279 0.656 1
O3 0.000 0.330 0.354 1
O4 0.000 0.373 0.984 1
O5 0.000 0.484 0.761 1


[10]
# PBE-GGA Zn2AgMo, optimized geometry
# Energy above the lowest structure with this stoichiometry (meV/atom): 0
# Final energy (eV per cell): -16.03
# Magnetic moment (μB per cell): 0.00
# Formation enthalpy at 0 K (eV per atom): 0.05
data_Zn2AgMo
_chemical_formula_sum 'Zn2 Ag1 Mo1'
_cell_length_a 2.729
_cell_length_b 2.729
_cell_length_c 8.302
_cell_angle_alpha 90.00
_cell_angle_beta 90.00
_cell_angle_gamma 90.00
_symmetry_space_group_name_H-M 'P 4/m m m'
_symmetry_Int_Tables_number 123
_symmetry_space_group_name_Hall '-P 4 2'
loop_
_atom_site_label
_atom_site_fract_x
_atom_site_fract_y
_atom_site_fract_z
_atom_site_occupancy
Zn1 0.000 0.000 0.245 1
Ag1 0.500 0.500 0.500 1
Mo1 0.500 0.500 0.000 1


[11]
# PBE-GGA Li2Pm2DyPb2, optimized geometry
# Final energy (eV per cell): -82.94
# Magnetic moment (μB per cell): 0.00
# Formation enthalpy at 0 K (eV per atom): -0.33
data_Li2Pm2DyPb2
_chemical_formula_sum 'Li6 Pm6 Dy3 Pb6'
_cell_length_a 4.8471
_cell_length_b 4.8471
_cell_length_c 27.5756
_cell_angle_alpha 90.00
_cell_angle_beta 90.00
_cell_angle_gamma 120.00
_symmetry_space_group_name_H-M 'R -3 m'
_symmetry_Int_Tables_number 166
_symmetry_space_group_name_Hall '-R 3 2"'
loop_
_atom_site_label
_atom_site_fract_x
_atom_site_fract_y
_atom_site_fract_z
_atom_site_occupancy
Li1 0.0000 0.0000 0.1034 1
Pm1 0.0000 0.0000 0.3720 1
Dy1 0.0000 0.0000 0.5000 1
Pb1 0.0000 0.0000 0.2330 1


[12]
# PBE-GGA PuNb, optimized geometry
# Final energy (eV per cell): -47.65
# Magnetic moment (μB per cell): 0.00
# Formation enthalpy at 0 K (eV per atom): 0.29
data_PuNb
_chemical_formula_sum 'Pu2 Nb2'
_cell_length_a 2.745
_cell_length_b 4.321
_cell_length_c 6.128
_cell_angle_alpha 90.00
_cell_angle_beta 97.41
_cell_angle_gamma 90.00
_symmetry_space_group_name_H-M 'P 1 21/m 1'
_symmetry_Int_Tables_number 11
loop_
_symmetry_equiv_pos_as_xyz
'x,y,z'
'-x,-y,-z'
'-x,y+1/2,-z'
'x,-y+1/2,z'
loop_
_atom_site_label
_atom_site_fract_x
_atom_site_fract_y
_atom_site_fract_z
_atom_site_occupancy
Pu1 0.094 0.250 0.422 1
Nb1 0.361 0.750 0.108 1


[13]
# PBE-GGA TaZn2PtC, optimized geometry
# Final energy (eV per cell): -22.57
# Magnetic moment (μB per cell): 0.00
# Formation enthalpy at 0 K (eV per atom): 1.42
data_TaZn2PtC
_chemical_formula_sum 'Ta1 Zn2 Pt1 C1'
_cell_length_a 5.055
_cell_length_b 5.055
_cell_length_c 3.904
_cell_angle_alpha 90.00
_cell_angle_beta 90.00
_cell_angle_gamma 90.00
_symmetry_space_group_name_H-M 'P 4/m m m'
_symmetry_Int_Tables_number 123
_symmetry_space_group_name_Hall '-P 4 2'
loop_
_atom_site_label
_atom_site_fract_x
_atom_site_fract_y
_atom_site_fract_z
_atom_site_occupancy
Ta1 0.000 0.000 0.000 1
Zn1 0.000 0.500 0.000 1
Pt1 0.500 0.500 0.500 1
C1 0.000 0.000 0.500 1


[14]
# PBE-GGA Cs3Sn2I4Cl3, optimized geometry
# Final energy (eV per cell): -74.63
# ΔE_f (raw) (eV/atom): -1.251
# Magnetic moment (μB per cell): 0.00
data_Cs3Sn2I4Cl3
_chemical_formula_sum 'Cs6 Sn4 I8 Cl6'
_cell_length_a 5.659
_cell_length_b 30.889
_cell_length_c 6.317
_cell_angle_alpha 90.00
_cell_angle_beta 90.00
_cell_angle_gamma 90.00
_symmetry_space_group_name_H-M 'I m m 2'
_symmetry_Int_Tables_number 44
loop_
_symmetry_equiv_pos_as_xyz
'x,y,z'
'-x,-y,z'
'-x,y,z'
'x,-y,z'
'x+1/2,y+1/2,z+1/2'
'-x+1/2,-y+1/2,z+1/2'
'-x+1/2,y+1/2,z+1/2'
'x+1/2,-y+1/2,z+1/2'
loop_
_atom_site_label
_atom_site_fract_x
_atom_site_fract_y
_atom_site_fract_z
_atom_site_occupancy
Cs1 0.000 0.000 0.000 1
Cs2 0.000 0.178 0.877 1
Sn1 0.000 0.407 0.865 1
I1 0.000 0.304 0.869 1
I2 0.000 0.411 0.361 1
Cl1 0.000 0.095 0.344 1
Cl2 0.000 0.500 0.849 1


[15]
# PBE-GGA TbDyHo, optimized geometry
# Energy above the lowest structure with this stoichiometry (meV/atom): 53
# Final energy (eV per cell): -13.60
# Magnetic moment (μB per cell): 0.00
# Formation enthalpy at 0 K (eV per atom): 0.07
data_TbDyHo
_chemical_formula_sum 'Tb1 Dy1 Ho1'
_cell_length_a 5.5892
_cell_length_b 5.5892
_cell_length_c 3.4509
_cell_angle_alpha 90.00
_cell_angle_beta 90.00
_cell_angle_gamma 120.00
_symmetry_space_group_name_H-M 'P -6 m 2'
_symmetry_Int_Tables_number 187
_symmetry_space_group_name_Hall 'P -6 2'
loop_
_atom_site_label
_atom_site_fract_x
_atom_site_fract_y
_atom_site_fract_z
_atom_site_occupancy
Tb1 0.0000 0.0000 0.0000 1
Dy1 0.3333 0.6667 0.5000 1
Ho1 0.6667 0.3333 0.5000 1


[16]
# PBE-GGA TmB4Ru6, optimized geometry
# Final energy (eV per cell): -177.52
# Magnetic moment (μB per cell): 0.00
# Formation enthalpy at 0 K (eV per atom): -0.17
data_TmB4Ru6
_chemical_formula_sum 'Tm2 B8 Ru12'
_cell_length_a 5.623
_cell_length_b 5.623
_cell_length_c 8.247
_cell_angle_alpha 90.00
_cell_angle_beta 90.00
_cell_angle_gamma 90.00
_symmetry_space_group_name_H-M 'I -4 2 m'
_symmetry_Int_Tables_number 121
_symmetry_space_group_name_Hall 'I -4 2'
loop_
_atom_site_label
_atom_site_fract_x
_atom_site_fract_y
_atom_site_fract_z
_atom_site_occupancy
Tm1 0.000 0.000 0.000 1
B1 0.146 0.146 0.435 1
Ru1 0.000 0.500 0.000 1
Ru2 0.189 0.189 0.720 1


[17]
# PBE-GGA MnNb3Ni, optimized geometry
# Energy above the lowest structure with this stoichiometry (meV/atom): 323
# Final energy (eV per cell): -39.02
# Magnetic moment (μB per cell): 0.00
# Formation enthalpy at 0 K (eV per atom): 1.23
data_MnNb3Ni
_chemical_formula_sum 'Mn1 Nb3 Ni1'
_cell_length_a 4.558
_cell_length_b 4.558
_cell_length_c 4.558
_cell_angle_alpha 90.00
_cell_angle_beta 90.00
_cell_angle_gamma 90.00
_symmetry_space_group_name_H-M 'P m -3 m'
_symmetry_Int_Tables_number 221
_symmetry_space_group_name_Hall '-P 4 2 3'
loop_
_atom_site_label
_atom_site_fract_x
_atom_site_fract_y
_atom_site_fract_z
_atom_site_occupancy
Mn1 0.000 0.000 0.000 1
Nb1 0.000 0.500 0.500 1
Ni1 0.500 0.500 0.500 1


[18]
# PBE-GGA Er2Ga4Cu3Ru, optimized geometry
# Final energy (eV per cell): -47.10
# Magnetic moment (μB per cell): 0.00
# Formation enthalpy at 0 K (eV per atom): -0.43
data_Er2Ga4Cu3Ru
_chemical_formula_sum 'Er2 Ga4 Cu3 Ru1'
_cell_length_a 4.009
_cell_length_b 4.009
_cell_length_c 10.643
_cell_angle_alpha 90.00
_cell_angle_beta 90.00
_cell_angle_gamma 90.00
_symmetry_space_group_name_H-M 'P -4 m 2'
_symmetry_Int_Tables_number 115
loop_
_symmetry_equiv_pos_as_xyz
'x,y,z'
'y,-x,-z'
'-x,-y,z'
'-y,x,-z'
'-x,y,z'
'-y,-x,-z'
'x,-y,z'
'y,x,-z'
loop_
_atom_site_label
_atom_site_fract_x
_atom_site_fract_y
_atom_site_fract_z
_atom_site_occupancy
Er1 0.000 0.500 0.249 1
Ga1 0.000 0.000 0.000 1
Ga2 0.000 0.500 0.637 1
Ga3 0.500 0.500 0.000 1
Cu1 0.000 0.500 0.862 1
Cu2 0.500 0.500 0.500 1
Ru1 0.000 0.000 0.500 1


[19]
# PBE-GGA ScCd6, optimized geometry
# Energy above the lowest structure with this stoichiometry (meV/atom): 0
# Final energy (eV per cell): -23.52
# Magnetic moment (μB per cell): 0.00
# Formation enthalpy at 0 K (eV per atom): 0.01
data_ScCd6
_chemical_formula_sum 'Sc2 Cd12'
_cell_length_a 5.914
_cell_length_b 5.914
_cell_length_c 9.288
_cell_angle_alpha 90.00
_cell_angle_beta 90.00
_cell_angle_gamma 90.00
_symmetry_space_group_name_H-M 'P 4/n b m'
_symmetry_Int_Tables_number 125
loop_
_symmetry_equiv_pos_as_xyz
'x,y,z'
'-x,-y,-z'
'-y+1/2,x,z'
'y+1/2,-x,-z'
'-x+1/2,-y+1/2,z'
'x+1/2,y+1/2,-z'
'y,-x+1/2,z'
'-y,x+1/2,-z'
'x,-y+1/2,-z'
'-x,y+1/2,z'
'-y+1/2,-x+1/2,-z'
'y+1/2,x+1/2,z'
'-x+1/2,y,-z'
'x+1/2,-y,z'
'y,x,-z'
'-y,-x,z'
loop_
_atom_site_label
_atom_site_fract_x
_atom_site_fract_y
_atom_site_fract_z
_atom_site_occupancy
Sc1 0.250 0.750 0.000 1
Cd1 0.074 0.574 0.357 1
Cd2 0.250 0.250 0.146 1


[20]
# PBE-GGA PuZrSb2, optimized geometry
# Energy above the lowest structure with this stoichiometry (meV/atom): 102
# Final energy (eV per cell): -99.94
# ΔE_f (raw) (eV/atom): -0.547
# Magnetic moment (μB per cell): 15.81
data_PuZrSb2
_chemical_formula_sum 'Pu3 Zr3 Sb6'
_cell_length_a 4.1684
_cell_length_b 4.1684
_cell_length_c 22.3677
_cell_angle_alpha 90.00
_cell_angle_beta 90.00
_cell_angle_gamma 120.00
_symmetry_space_group_name_H-M 'R 3 m'
_symmetry_Int_Tables_number 160
_symmetry_space_group_name_Hall 'R 3 -2"'
loop_
_atom_site_label
_atom_site_fract_x
_atom_site_fract_y
_atom_site_fract_z
_atom_site_occupancy
Pu1 0.0000 0.0000 0.0000 1
Zr1 0.0000 0.0000 0.8285 1
Sb1 0.0000 0.0000 0.4185 1
Sb2 0.0000 0.0000 0.5756 1